Entry 1:
5
Lattice="4.724 0.000 0.000 0.000 3.260 0.000 -1.317 0.000 4.933" Properties=species:S:1:pos:R:3 comment="NbTeMoHPd, relaxed, DFT PBE" magnetic_moment_mub_per_atom=0.00 pbc="T T T"
Nb 0.000 0.000 0.000
Te 2.338 0.000 2.412
Mo 2.429 1.630 0.304
H 0.566 0.000 4.379
Pd -0.014 1.630 2.395


Entry 2:
5
Lattice="4.234 0.000 0.000 0.000 4.234 0.000 0.000 0.000 3.876" Properties=species:S:1:pos:R:3 comment="Nb2MoHPt, relaxed, DFT PBE" magnetic_moment_mub_per_atom=0.00 pbc="T T T"
Nb 0.000 2.117 0.000
Nb 2.117 0.000 0.000
Mo 0.000 0.000 1.938
H 0.000 0.000 0.000
Pt 2.117 2.117 1.938


Entry 3:
5
Lattice="4.018 0.000 0.000 0.000 4.018 0.000 0.000 0.000 4.140" Properties=species:S:1:pos:R:3 comment="NbMo2HPt, relaxed, DFT PBE" magnetic_moment_mub_per_atom=0.00 pbc="T T T"
Nb 0.000 0.000 0.000
Mo 0.000 2.009 2.070
Mo 2.009 0.000 2.070
H 0.000 0.000 2.070
Pt 2.009 2.009 0.000


Entry 4:
5
Lattice="4.331 0.000 0.000 0.000 4.331 0.000 0.000 0.000 3.732" Properties=species:S:1:pos:R:3 comment="Nb2MoHPt, relaxed, DFT PBE" magnetic_moment_mub_per_atom=0.00 pbc="T T T"
Nb 0.000 2.165 0.000
Nb 2.165 0.000 0.000
Mo 0.000 0.000 1.866
H 2.165 2.165 0.000
Pt 2.165 2.165 1.866


Entry 5:
5
Lattice="4.035 0.000 0.000 0.000 4.035 0.000 0.000 0.000 4.117" Properties=species:S:1:pos:R:3 comment="NbMo2HPt, relaxed, DFT PBE" magnetic_moment_mub_per_atom=0.00 pbc="T T T"
Nb 0.000 0.000 0.000
Mo 0.000 2.017 2.059
Mo 2.017 0.000 2.059
H 2.017 2.017 2.059
Pt 2.017 2.017 0.000


Entry 6:
5
Lattice="4.024 0.000 0.000 0.000 4.024 0.000 0.000 0.000 4.165" Properties=species:S:1:pos:R:3 comment="NbReMo2H, relaxed, DFT PBE" magnetic_moment_mub_per_atom=0.00 pbc="T T T"
Nb 0.000 0.000 0.000
Re 2.012 2.012 0.000
Mo 0.000 2.012 2.082
Mo 2.012 0.000 2.082
H 2.012 2.012 2.082


Entry 7:
5
Lattice="4.537 0.000 0.000 0.000 4.537 0.000 0.000 0.000 3.391" Properties=species:S:1:pos:R:3 comment="Nb2ReMoH, relaxed, DFT PBE" magnetic_moment_mub_per_atom=0.00 pbc="T T T"
Nb 0.000 2.269 0.000
Nb 2.269 0.000 0.000
Re 0.000 0.000 1.696
Mo 2.269 2.269 1.696
H 2.269 2.269 0.000


Entry 8:
5
Lattice="3.973 0.000 0.000 0.000 3.973 0.000 0.000 0.000 4.275" Properties=species:S:1:pos:R:3 comment="NbReMo2H, relaxed, DFT PBE" magnetic_moment_mub_per_atom=0.00 pbc="T T T"
Nb 0.000 0.000 0.000
Re 1.986 1.986 0.000
Mo 0.000 1.986 2.138
Mo 1.986 0.000 2.138
H 0.000 0.000 2.138


no.,energy relative to the lowest polymorph listed for this composition (eV per formula unit)
1,0.15
2,0.00
3,0.00
4,0.29
5,0.38
6,0.14
7,0.00
8,0.00